Record 1
DFT (PBE) results for a relaxed HfBSbC2 crystal.

Spin magnetization = 0.0 μB per cell
VASP energy = -6.042 eV per atom
N(E_F) = 2.79 states/eV/cell
Raw formation energy = 1.798 eV/atom

a = 4.2958 Å, b = 4.2958 Å, c = 4.5181 Å
α = 90.00°, β = 90.00°, γ = 90.00°
With the nearest neighbours (Å) after each atom.
Space group P4/mmm (No. 123)
Inequivalent atoms, fractional coordinates:
Hf  0.0000  0.0000  0.0000 (multiplicity 1)  4 C 2.15, 2 B 2.26
B  0.0000  0.0000  0.5000 (multiplicity 1)  2 Hf 2.26
Sb  0.5000  0.5000  0.5000 (multiplicity 1)  4 B 3.04, 8 C 3.12
C  0.0000  0.5000  0.0000 (multiplicity 2)  2 Hf 2.15

Record 2
DFT (PBE) results for a relaxed BaTa2Ir crystal.

Energy above the most stable polymorph in this dataset = 678 meV/atom
Spin magnetization = 0.0 μB per cell
VASP energy = -7.726 eV per atom
N(E_F) = 7.90 states/eV/cell
DFT formation energy = 0.896 eV/atom

a = 5.8729 Å, b = 9.8940 Å, c = 2.9804 Å
α = 90.00°, β = 109.36°, γ = 90.00°
With the nearest neighbours (Å) after each atom.
Space group C2/m (No. 12)
Inequivalent atoms, fractional coordinates:
Ba  0.0000  0.0000  0.0000 (multiplicity 2)  2 Ir 2.94, 2 Ba 2.98, 4 Ta 3.01
Ta  0.2500  0.2500  0.5000 (multiplicity 4)  4 Ta 2.94-2.98, 2 Ba 3.01, 2 Ir 3.01
Ir  0.0000  0.5000  0.0000 (multiplicity 2)  2 Ba 2.94, 2 Ir 2.98, 4 Ta 3.01

Record 3
DFT (PBE) results for a relaxed KGaRu3 crystal.

Energy above the most stable polymorph in this dataset = 0 meV/atom
Spin magnetization = 5.3 μB per cell
VASP energy = -5.015 eV per atom
N(E_F) = 7.12 states/eV/cell
DFT formation energy = 1.376 eV/atom

a = 4.7957 Å, b = 4.7957 Å, c = 4.7957 Å
α = 90.00°, β = 90.00°, γ = 90.00°
With the nearest neighbours (Å) after each atom.
Space group Pm-3m (No. 221)
Inequivalent atoms, fractional coordinates:
K  0.0000  0.0000  0.0000 (multiplicity 1)  12 Ru 3.39
Ga  0.5000  0.5000  0.5000 (multiplicity 1)  6 Ru 2.40
Ru  0.0000  0.5000  0.5000 (multiplicity 3)  2 Ga 2.40